A geometry-optimized ScGaBi2W structure. Source: Alexandria, functional PBE-GGA.

```
data_ScGaBi2W
_chemical_formula_sum 'Sc1 Ga1 Bi2 W1'
_space_group_name_H-M_alt 'P 1'
_space_group_IT_number 1
_cell_length_a 5.400
_cell_length_b 5.400
_cell_length_c 5.214
_cell_angle_alpha 90.00
_cell_angle_beta 90.00
_cell_angle_gamma 90.00
loop_
_space_group_symop_operation_xyz
'x,y,z'
loop_
_atom_site_label
_atom_site_type_symbol
_atom_site_fract_x
_atom_site_fract_y
_atom_site_fract_z
Sc1 Sc 0.000 0.000 0.000
Ga1 Ga 0.500 0.500 0.000
Bi1 Bi 0.000 0.500 0.500
Bi2 Bi 0.500 0.000 0.500
W1 W 0.000 0.000 0.500
```

D(E_F): 0.684 states/eV per atom
formation energy: 313 kJ/mol of formula units


A geometry-optimized GaBiSe structure. Source: Alexandria, functional PBE-GGA.

```
data_GaBiSe
_chemical_formula_sum 'Ga2 Bi2 Se2'
_space_group_name_H-M_alt 'P 1'
_space_group_IT_number 1
_cell_length_a 7.894
_cell_length_b 7.894
_cell_length_c 5.724
_cell_angle_alpha 90.00
_cell_angle_beta 90.00
_cell_angle_gamma 151.84
loop_
_space_group_symop_operation_xyz
'x,y,z'
loop_
_atom_site_label
_atom_site_type_symbol
_atom_site_fract_x
_atom_site_fract_y
_atom_site_fract_z
Ga1 Ga 0.207 0.793 0.500
Ga2 Ga 0.793 0.207 0.000
Bi1 Bi 0.383 0.617 0.342
Bi2 Bi 0.617 0.383 0.842
Se1 Se 0.084 0.916 0.222
Se2 Se 0.916 0.084 0.722
```

D(E_F): 0.598 states/eV per atom
ΔE_f (raw): -0.13 eV per formula unit


A geometry-optimized GaBi2Se2 structure. Source: Alexandria, functional PBE-GGA.

```
data_GaBi2Se2
_chemical_formula_sum 'Ga2 Bi4 Se4'
_space_group_name_H-M_alt 'P 1'
_space_group_IT_number 1
_cell_length_a 8.455
_cell_length_b 8.455
_cell_length_c 3.884
_cell_angle_alpha 90.00
_cell_angle_beta 90.00
_cell_angle_gamma 90.00
loop_
_space_group_symop_operation_xyz
'x,y,z'
loop_
_atom_site_label
_atom_site_type_symbol
_atom_site_fract_x
_atom_site_fract_y
_atom_site_fract_z
Ga1 Ga 0.000 0.000 0.000
Ga2 Ga 0.500 0.500 0.000
Bi1 Bi 0.179 0.321 0.500
Bi2 Bi 0.321 0.821 0.500
Bi3 Bi 0.679 0.179 0.500
Bi4 Bi 0.821 0.679 0.500
Se1 Se 0.148 0.648 0.000
Se2 Se 0.352 0.148 0.000
Se3 Se 0.648 0.852 0.000
Se4 Se 0.852 0.352 0.000
```

D(E_F): 0.364 states/eV per atom
ΔE_f (raw): -0.05 eV per formula unit


A geometry-optimized Ga3BiSe structure. Source: Alexandria, functional PBE-GGA.

```
data_Ga3BiSe
_chemical_formula_sum 'Ga3 Bi1 Se1'
_space_group_name_H-M_alt 'P 1'
_space_group_IT_number 1
_cell_length_a 5.550
_cell_length_b 5.550
_cell_length_c 5.550
_cell_angle_alpha 90.00
_cell_angle_beta 90.00
_cell_angle_gamma 90.00
loop_
_space_group_symop_operation_xyz
'x,y,z'
loop_
_atom_site_label
_atom_site_type_symbol
_atom_site_fract_x
_atom_site_fract_y
_atom_site_fract_z
Ga1 Ga 0.000 0.000 0.500
Ga2 Ga 0.000 0.500 0.000
Ga3 Ga 0.500 0.000 0.000
Bi1 Bi 0.000 0.000 0.000
Se1 Se 0.500 0.500 0.500
```

D(E_F): 0.314 states/eV per atom
ΔE_f (raw): 2.66 eV per formula unit


A geometry-optimized GaBiSe2 structure. Source: Alexandria, functional PBE-GGA.

```
data_GaBiSe2
_chemical_formula_sum 'Ga2 Bi2 Se4'
_space_group_name_H-M_alt 'P 1'
_space_group_IT_number 1
_cell_length_a 6.553
_cell_length_b 6.553
_cell_length_c 6.553
_cell_angle_alpha 111.37
_cell_angle_beta 111.37
_cell_angle_gamma 105.74
loop_
_space_group_symop_operation_xyz
'x,y,z'
loop_
_atom_site_label
_atom_site_type_symbol
_atom_site_fract_x
_atom_site_fract_y
_atom_site_fract_z
Ga1 Ga 0.000 0.000 0.000
Ga2 Ga 0.750 0.250 0.500
Bi1 Bi 0.250 0.750 0.500
Bi2 Bi 0.500 0.500 0.000
Se1 Se 0.095 0.625 0.970
Se2 Se 0.375 0.345 0.470
Se3 Se 0.655 0.125 0.030
Se4 Se 0.875 0.905 0.530
```

D(E_F): 0.302 states/eV per atom
ΔE_f (raw): -0.74 eV per formula unit


A geometry-optimized GaBiSe2 structure. Source: Alexandria, functional PBE-GGA.

```
data_GaBiSe2
_chemical_formula_sum 'Ga2 Bi2 Se4'
_space_group_name_H-M_alt 'P 1'
_space_group_IT_number 1
_cell_length_a 5.878
_cell_length_b 5.878
_cell_length_c 10.424
_cell_angle_alpha 107.21
_cell_angle_beta 107.21
_cell_angle_gamma 42.88
loop_
_space_group_symop_operation_xyz
'x,y,z'
loop_
_atom_site_label
_atom_site_type_symbol
_atom_site_fract_x
_atom_site_fract_y
_atom_site_fract_z
Ga1 Ga 0.182 0.182 0.498
Ga2 Ga 0.818 0.818 0.502
Bi1 Bi 0.412 0.412 0.121
Bi2 Bi 0.588 0.588 0.879
Se1 Se 0.051 0.051 0.670
Se2 Se 0.154 0.154 0.090
Se3 Se 0.846 0.846 0.910
Se4 Se 0.949 0.949 0.330
```

D(E_F): 0.106 states/eV per atom
ΔE_f (raw): -1.24 eV per formula unit


A geometry-optimized Ga2BiSe structure. Source: Alexandria, functional PBE-GGA.

```
data_Ga2BiSe
_chemical_formula_sum 'Ga2 Bi1 Se1'
_space_group_name_H-M_alt 'P 1'
_space_group_IT_number 1
_cell_length_a 8.114
_cell_length_b 8.114
_cell_length_c 8.114
_cell_angle_alpha 27.08
_cell_angle_beta 27.08
_cell_angle_gamma 27.08
loop_
_space_group_symop_operation_xyz
'x,y,z'
loop_
_atom_site_label
_atom_site_type_symbol
_atom_site_fract_x
_atom_site_fract_y
_atom_site_fract_z
Ga1 Ga 0.000 0.000 0.000
Ga2 Ga 0.191 0.191 0.191
Bi1 Bi 0.428 0.428 0.428
Se1 Se 0.599 0.599 0.599
```

D(E_F): 0.360 states/eV per atom
ΔE_f (raw): -0.41 eV per formula unit


A geometry-optimized GaBiSe3 structure. Source: Alexandria, functional PBE-GGA.

```
data_GaBiSe3
_chemical_formula_sum 'Ga2 Bi2 Se6'
_space_group_name_H-M_alt 'P 1'
_space_group_IT_number 1
_cell_length_a 4.069
_cell_length_b 12.449
_cell_length_c 12.449
_cell_angle_alpha 149.14
_cell_angle_beta 90.00
_cell_angle_gamma 90.00
loop_
_space_group_symop_operation_xyz
'x,y,z'
loop_
_atom_site_label
_atom_site_type_symbol
_atom_site_fract_x
_atom_site_fract_y
_atom_site_fract_z
Ga1 Ga 0.250 0.125 0.875
Ga2 Ga 0.750 0.875 0.125
Bi1 Bi 0.250 0.388 0.725
Bi2 Bi 0.750 0.725 0.388
Se1 Se 0.250 0.055 0.622
Se2 Se 0.250 0.454 0.251
Se3 Se 0.250 0.764 0.922
Se4 Se 0.750 0.251 0.454
Se5 Se 0.750 0.622 0.055
Se6 Se 0.750 0.922 0.764
```

ΔE_f (raw): -2.42 eV per formula unit


A geometry-optimized Ga2BiSe2 structure. Source: Alexandria, functional PBE-GGA.

```
data_Ga2BiSe2
_chemical_formula_sum 'Ga2 Bi1 Se2'
_space_group_name_H-M_alt 'P 1'
_space_group_IT_number 1
_cell_length_a 7.062
_cell_length_b 7.062
_cell_length_c 7.062
_cell_angle_alpha 142.64
_cell_angle_beta 142.64
_cell_angle_gamma 53.86
loop_
_space_group_symop_operation_xyz
'x,y,z'
loop_
_atom_site_label
_atom_site_type_symbol
_atom_site_fract_x
_atom_site_fract_y
_atom_site_fract_z
Ga1 Ga 0.250 0.750 0.500
Ga2 Ga 0.750 0.250 0.500
Bi1 Bi 0.000 0.000 0.000
Se1 Se 0.361 0.361 0.000
Se2 Se 0.639 0.639 0.000
```

D(E_F): 0.619 states/eV per atom
ΔE_f (raw): 0.26 eV per formula unit


A geometry-optimized Ga3BiSe structure. Source: Alexandria, functional PBE-GGA.

```
data_Ga3BiSe
_chemical_formula_sum 'Ga3 Bi1 Se1'
_space_group_name_H-M_alt 'P 1'
_space_group_IT_number 1
_cell_length_a 5.152
_cell_length_b 5.152
_cell_length_c 5.152
_cell_angle_alpha 90.00
_cell_angle_beta 90.00
_cell_angle_gamma 90.00
loop_
_space_group_symop_operation_xyz
'x,y,z'
loop_
_atom_site_label
_atom_site_type_symbol
_atom_site_fract_x
_atom_site_fract_y
_atom_site_fract_z
Ga1 Ga 0.000 0.000 0.500
Ga2 Ga 0.000 0.500 0.000
Ga3 Ga 0.500 0.000 0.000
Bi1 Bi 0.500 0.500 0.500
Se1 Se 0.000 0.000 0.000
```

D(E_F): 0.494 states/eV per atom
ΔE_f (raw): 1.39 eV per formula unit


A geometry-optimized Ga5Bi3Se12 structure. Source: Alexandria, functional PBE-GGA.

```
data_Ga5Bi3Se12
_chemical_formula_sum 'Ga20 Bi12 Se48'
_space_group_name_H-M_alt 'P 1'
_space_group_IT_number 1
_cell_length_a 13.937
_cell_length_b 13.937
_cell_length_c 13.937
_cell_angle_alpha 109.47
_cell_angle_beta 109.47
_cell_angle_gamma 109.47
loop_
_space_group_symop_operation_xyz
'x,y,z'
loop_
_atom_site_label
_atom_site_type_symbol
_atom_site_fract_x
_atom_site_fract_y
_atom_site_fract_z
Ga1 Ga 0.000 0.000 0.000
Ga2 Ga 0.000 0.000 0.500
Ga3 Ga 0.000 0.500 0.000
Ga4 Ga 0.000 0.500 0.500
Ga5 Ga 0.125 0.750 0.875
Ga6 Ga 0.125 0.875 0.250
Ga7 Ga 0.250 0.125 0.875
Ga8 Ga 0.250 0.625 0.375
Ga9 Ga 0.375 0.250 0.625
Ga10 Ga 0.375 0.625 0.750
Ga11 Ga 0.500 0.000 0.000
Ga12 Ga 0.500 0.000 0.500
Ga13 Ga 0.500 0.500 0.000
Ga14 Ga 0.500 0.500 0.500
Ga15 Ga 0.625 0.375 0.250
Ga16 Ga 0.625 0.750 0.375
Ga17 Ga 0.750 0.375 0.625
Ga18 Ga 0.750 0.875 0.125
Ga19 Ga 0.875 0.125 0.750
Ga20 Ga 0.875 0.250 0.125
Bi1 Bi 0.125 0.250 0.375
Bi2 Bi 0.125 0.375 0.750
Bi3 Bi 0.250 0.375 0.125
Bi4 Bi 0.250 0.875 0.625
Bi5 Bi 0.375 0.125 0.250
Bi6 Bi 0.375 0.750 0.125
Bi7 Bi 0.625 0.250 0.875
Bi8 Bi 0.625 0.875 0.750
Bi9 Bi 0.750 0.125 0.375
Bi10 Bi 0.750 0.625 0.875
Bi11 Bi 0.875 0.625 0.250
Bi12 Bi 0.875 0.750 0.625
Se1 Se 0.032 0.209 0.123
Se2 Se 0.032 0.323 0.909
Se3 Se 0.086 0.709 0.677
Se4 Se 0.086 0.877 0.409
Se5 Se 0.091 0.623 0.414
Se6 Se 0.091 0.968 0.677
Se7 Se 0.123 0.032 0.209
Se8 Se 0.123 0.591 0.914
Se9 Se 0.177 0.209 0.586
Se10 Se 0.177 0.468 0.591
Se11 Se 0.209 0.123 0.032
Se12 Se 0.209 0.586 0.177
Se13 Se 0.291 0.323 0.914
Se14 Se 0.291 0.468 0.377
Se15 Se 0.323 0.909 0.032
Se16 Se 0.323 0.914 0.291
Se17 Se 0.377 0.291 0.468
Se18 Se 0.377 0.586 0.909
Se19 Se 0.409 0.086 0.877
Se20 Se 0.409 0.823 0.532
Se21 Se 0.414 0.091 0.623
Se22 Se 0.414 0.823 0.791
Se23 Se 0.468 0.377 0.291
Se24 Se 0.468 0.591 0.177
Se25 Se 0.532 0.409 0.823
Se26 Se 0.532 0.623 0.709
Se27 Se 0.586 0.177 0.209
Se28 Se 0.586 0.909 0.377
Se29 Se 0.591 0.177 0.468
Se30 Se 0.591 0.914 0.123
Se31 Se 0.623 0.414 0.091
Se32 Se 0.623 0.709 0.532
Se33 Se 0.677 0.086 0.709
Se34 Se 0.677 0.091 0.968
Se35 Se 0.709 0.532 0.623
Se36 Se 0.709 0.677 0.086
Se37 Se 0.791 0.414 0.823
Se38 Se 0.791 0.877 0.968
Se39 Se 0.823 0.532 0.409
Se40 Se 0.823 0.791 0.414
Se41 Se 0.877 0.409 0.086
Se42 Se 0.877 0.968 0.791
Se43 Se 0.909 0.032 0.323
Se44 Se 0.909 0.377 0.586
Se45 Se 0.914 0.123 0.591
Se46 Se 0.914 0.291 0.323
Se47 Se 0.968 0.677 0.091
Se48 Se 0.968 0.791 0.877
```

ΔE_f (raw): -8.14 eV per formula unit


A geometry-optimized Ga12Bi5Se3 structure. Source: Alexandria, functional PBE-GGA.

```
data_Ga12Bi5Se3
_chemical_formula_sum 'Ga48 Bi20 Se12'
_space_group_name_H-M_alt 'P 1'
_space_group_IT_number 1
_cell_length_a 14.529
_cell_length_b 14.529
_cell_length_c 14.529
_cell_angle_alpha 109.47
_cell_angle_beta 109.47
_cell_angle_gamma 109.47
loop_
_space_group_symop_operation_xyz
'x,y,z'
loop_
_atom_site_label
_atom_site_type_symbol
_atom_site_fract_x
_atom_site_fract_y
_atom_site_fract_z
Ga1 Ga 0.067 0.732 0.657
Ga2 Ga 0.067 0.834 0.410
Ga3 Ga 0.076 0.232 0.166
Ga4 Ga 0.076 0.343 0.910
Ga5 Ga 0.090 0.666 0.433
Ga6 Ga 0.090 0.924 0.657
Ga7 Ga 0.157 0.232 0.567
Ga8 Ga 0.157 0.424 0.590
Ga9 Ga 0.166 0.076 0.232
Ga10 Ga 0.166 0.590 0.933
Ga11 Ga 0.232 0.166 0.076
Ga12 Ga 0.232 0.567 0.157
Ga13 Ga 0.268 0.343 0.933
Ga14 Ga 0.268 0.424 0.334
Ga15 Ga 0.334 0.268 0.424
Ga16 Ga 0.334 0.567 0.910
Ga17 Ga 0.343 0.910 0.076
Ga18 Ga 0.343 0.933 0.268
Ga19 Ga 0.410 0.067 0.834
Ga20 Ga 0.410 0.843 0.576
Ga21 Ga 0.424 0.334 0.268
Ga22 Ga 0.424 0.590 0.157
Ga23 Ga 0.433 0.090 0.666
Ga24 Ga 0.433 0.843 0.768
Ga25 Ga 0.567 0.157 0.232
Ga26 Ga 0.567 0.910 0.334
Ga27 Ga 0.576 0.410 0.843
Ga28 Ga 0.576 0.666 0.732
Ga29 Ga 0.590 0.157 0.424
Ga30 Ga 0.590 0.933 0.166
Ga31 Ga 0.657 0.067 0.732
Ga32 Ga 0.657 0.090 0.924
Ga33 Ga 0.666 0.433 0.090
Ga34 Ga 0.666 0.732 0.576
Ga35 Ga 0.732 0.576 0.666
Ga36 Ga 0.732 0.657 0.067
Ga37 Ga 0.768 0.433 0.843
Ga38 Ga 0.768 0.834 0.924
Ga39 Ga 0.834 0.410 0.067
Ga40 Ga 0.834 0.924 0.768
Ga41 Ga 0.843 0.576 0.410
Ga42 Ga 0.843 0.768 0.433
Ga43 Ga 0.910 0.076 0.343
Ga44 Ga 0.910 0.334 0.567
Ga45 Ga 0.924 0.657 0.090
Ga46 Ga 0.924 0.768 0.834
Ga47 Ga 0.933 0.166 0.590
Ga48 Ga 0.933 0.268 0.343
Bi1 Bi 0.000 0.000 0.000
Bi2 Bi 0.000 0.000 0.500
Bi3 Bi 0.000 0.500 0.000
Bi4 Bi 0.000 0.500 0.500
Bi5 Bi 0.125 0.750 0.875
Bi6 Bi 0.125 0.875 0.250
Bi7 Bi 0.250 0.125 0.875
Bi8 Bi 0.250 0.625 0.375
Bi9 Bi 0.375 0.250 0.625
Bi10 Bi 0.375 0.625 0.750
Bi11 Bi 0.500 0.000 0.000
Bi12 Bi 0.500 0.000 0.500
Bi13 Bi 0.500 0.500 0.000
Bi14 Bi 0.500 0.500 0.500
Bi15 Bi 0.625 0.375 0.250
Bi16 Bi 0.625 0.750 0.375
Bi17 Bi 0.750 0.375 0.625
Bi18 Bi 0.750 0.875 0.125
Bi19 Bi 0.875 0.125 0.750
Bi20 Bi 0.875 0.250 0.125
Se1 Se 0.125 0.250 0.375
Se2 Se 0.125 0.375 0.750
Se3 Se 0.250 0.375 0.125
Se4 Se 0.250 0.875 0.625
Se5 Se 0.375 0.125 0.250
Se6 Se 0.375 0.750 0.125
Se7 Se 0.625 0.250 0.875
Se8 Se 0.625 0.875 0.750
Se9 Se 0.750 0.125 0.375
Se10 Se 0.750 0.625 0.875
Se11 Se 0.875 0.625 0.250
Se12 Se 0.875 0.750 0.625
```

D(E_F): 0.525 states/eV per atom
ΔE_f (raw): 1.97 eV per formula unit